A relaxed BaCaRu2 crystal, computed with PBE.

uncorrected energy	-4.80	eV per atom
energy relative to the lowest polymorph listed for this composition	654	meV/atom
calculated formation energy	816	meV/atom
symmetry	P4/mmm, No. 123
size of the total moment	1.28	μB per cell
ρ	6.9	g/cm³

a b c (Å): 5.0339 5.0339 3.5814
angles (deg): 90.00 90.00 90.00
Positions (direct):
Ba  0.0000  0.0000  0.0000
Ca  0.5000  0.5000  0.0000
Ru  0.0000  0.5000  0.5000
Ru  0.5000  0.0000  0.5000


A relaxed Ba3Cd2Pd3 crystal, computed with PBE.

uncorrected energy	-3.39	eV per atom
calculated formation energy	-491	meV/atom
symmetry	Pnma, No. 62
size of the total moment	0.00	μB per cell
ρ	6.4	g/cm³

a b c (Å): 8.7000 16.1443 7.0099
angles (deg): 90.00 90.00 90.00
Positions (direct):
Ba  0.0444  0.1074  0.1557
Ba  0.0444  0.3926  0.1557
Ba  0.0953  0.7500  0.3757
Ba  0.4047  0.2500  0.8757
Ba  0.4556  0.6074  0.6557
Ba  0.4556  0.8926  0.6557
Ba  0.5444  0.1074  0.3443
Ba  0.5444  0.3926  0.3443
Ba  0.5953  0.7500  0.1243
Ba  0.9047  0.2500  0.6243
Ba  0.9556  0.6074  0.8443
Ba  0.9556  0.8926  0.8443
Cd  0.1922  0.0916  0.6356
Cd  0.1922  0.4084  0.6356
Cd  0.3078  0.5916  0.1356
Cd  0.3078  0.9084  0.1356
Cd  0.6922  0.0916  0.8644
Cd  0.6922  0.4084  0.8644
Cd  0.8078  0.5916  0.3644
Cd  0.8078  0.9084  0.3644
Pd  0.1162  0.5500  0.4280
Pd  0.1162  0.9500  0.4280
Pd  0.2503  0.2500  0.4340
Pd  0.2497  0.7500  0.9340
Pd  0.3838  0.0500  0.9280
Pd  0.3838  0.4500  0.9280
Pd  0.6162  0.5500  0.0720
Pd  0.6162  0.9500  0.0720
Pd  0.7503  0.2500  0.0660
Pd  0.7497  0.7500  0.5660
Pd  0.8838  0.0500  0.5720
Pd  0.8838  0.4500  0.5720


A relaxed Rb2TlCdRu crystal, computed with PBE.

uncorrected energy	-1.71	eV per atom
energy relative to the lowest polymorph listed for this composition	377	meV/atom
calculated formation energy	1184	meV/atom
symmetry	P4/mmm, No. 123
size of the total moment	2.83	μB per cell
ρ	3.8	g/cm³

a b c (Å): 6.8087 6.8087 5.6238
angles (deg): 90.00 90.00 90.00
Positions (direct):
Rb  0.0000  0.5000  0.0000
Rb  0.5000  0.0000  0.0000
Tl  0.0000  0.0000  0.0000
Cd  0.0000  0.0000  0.5000
Ru  0.5000  0.5000  0.5000


A relaxed TcIO3 crystal, computed with PBE.

uncorrected energy	-5.77	eV per atom
symmetry	Pm-3m, No. 221
size of the total moment	0.00	μB per cell
uncorrected formation energy	-0.408	eV/atom
ρ	7.2	g/cm³

a b c (Å): 3.9818 3.9818 3.9818
angles (deg): 90.00 90.00 90.00
Positions (direct):
Tc  0.0000  0.0000  0.0000
I  0.5000  0.5000  0.5000
O  0.0000  0.0000  0.5000
O  0.0000  0.5000  0.0000
O  0.5000  0.0000  0.0000


A relaxed Li20Mg3Cd6 crystal, computed with PBE.

uncorrected energy	-1.72	eV per atom
calculated formation energy	-44	meV/atom
symmetry	Fm-3m, No. 225
size of the total moment	0.00	μB per cell
ρ	2.4	g/cm³

a b c (Å): 9.4864 9.4864 9.4864
angles (deg): 60.00 60.00 60.00
Positions (direct):
Li  0.0000  0.0000  0.3450
Li  0.0000  0.0000  0.6550
Li  0.0000  0.3450  0.0000
Li  0.0000  0.3450  0.6550
Li  0.0000  0.6550  0.0000
Li  0.0000  0.6550  0.3450
Li  0.1011  0.6330  0.6330
Li  0.3450  0.0000  0.0000
Li  0.3450  0.0000  0.6550
Li  0.3450  0.6550  0.0000
Li  0.3670  0.3670  0.3670
Li  0.3670  0.3670  0.8989
Li  0.3670  0.8989  0.3670
Li  0.6330  0.1011  0.6330
Li  0.6330  0.6330  0.1011
Li  0.6330  0.6330  0.6330
Li  0.6550  0.0000  0.0000
Li  0.6550  0.0000  0.3450
Li  0.6550  0.3450  0.0000
Li  0.8989  0.3670  0.3670
Mg  0.0000  0.0000  0.0000
Mg  0.2500  0.2500  0.2500
Mg  0.7500  0.7500  0.7500
Cd  0.2930  0.2930  0.7070
Cd  0.2930  0.7070  0.2930
Cd  0.2930  0.7070  0.7070
Cd  0.7070  0.2930  0.2930
Cd  0.7070  0.2930  0.7070
Cd  0.7070  0.7070  0.2930


A relaxed SrSb2Cl crystal, computed with PBE.

uncorrected energy	-3.83	eV per atom
energy relative to the lowest polymorph listed for this composition	151	meV/atom
symmetry	Imm2, No. 44
size of the total moment	0.00	μB per cell
uncorrected formation energy	-0.886	eV/atom
ρ	4.7	g/cm³

a b c (Å): 6.0321 6.0321 6.0321
angles (deg): 138.01 112.85 82.44
Positions (direct):
Sr  0.0000  0.0000  0.0000
Sb  0.3152  0.8152  0.5000
Sb  0.5193  0.5193  0.0000
Cl  0.7993  0.2993  0.5000


A relaxed TmAlSi2Rh crystal, computed with PBE.

uncorrected energy	-5.98	eV per atom
symmetry	Pmma, No. 51
size of the total moment	0.00	μB per cell
uncorrected formation energy	-0.693	eV/atom
ρ	7.0	g/cm³

a b c (Å): 5.6060 5.4646 5.4990
angles (deg): 90.00 90.00 90.00
Positions (direct):
Tm  0.2500  0.0000  0.2284
Tm  0.7500  0.0000  0.7716
Al  0.2500  0.5000  0.3788
Al  0.7500  0.5000  0.6212
Si  0.2500  0.2207  0.7369
Si  0.2500  0.7793  0.7369
Si  0.7500  0.2207  0.2631
Si  0.7500  0.7793  0.2631
Rh  0.0000  0.5000  0.0000
Rh  0.5000  0.5000  0.0000


A relaxed Tb7Nd12Dy crystal, computed with PBE.

uncorrected energy	-4.49	eV per atom
energy relative to the lowest polymorph listed for this composition	0	meV/atom
calculated formation energy	222	meV/atom
symmetry	R-3, No. 148
size of the total moment	0.00	μB per cell
ρ	7.2	g/cm³

a b c (Å): 8.8735 8.8735 8.8735
angles (deg): 86.92 86.92 86.92
Positions (direct):
Tb  0.0000  0.0000  0.0000
Tb  0.1390  0.6137  0.4939
Tb  0.3863  0.5061  0.8610
Tb  0.4939  0.1390  0.6137
Tb  0.5061  0.8610  0.3863
Tb  0.6137  0.4939  0.1390
Tb  0.8610  0.3863  0.5061
Nd  0.0785  0.3975  0.1520
Nd  0.1506  0.2752  0.7445
Nd  0.1520  0.0785  0.3975
Nd  0.2555  0.8494  0.7248
Nd  0.2752  0.7445  0.1506
Nd  0.3975  0.1520  0.0785
Nd  0.6025  0.8480  0.9215
Nd  0.7248  0.2555  0.8494
Nd  0.7445  0.1506  0.2752
Nd  0.8480  0.9215  0.6025
Nd  0.8494  0.7248  0.2555
Nd  0.9215  0.6025  0.8480
Dy  0.5000  0.5000  0.5000


A relaxed Ho2BiPb crystal, computed with PBE.

uncorrected energy	-4.77	eV per atom
energy relative to the lowest polymorph listed for this composition	57	meV/atom
calculated formation energy	-584	meV/atom
symmetry	R-3m, No. 166
size of the total moment	0.00	μB per cell
ρ	10.0	g/cm³

a b c (Å): 8.1522 8.1522 8.1522
angles (deg): 30.56 30.56 30.56
Positions (direct):
Ho  0.2481  0.2481  0.2481
Ho  0.7519  0.7519  0.7519
Bi  0.5000  0.5000  0.5000
Pb  0.0000  0.0000  0.0000


A relaxed SiB2Br crystal, computed with PBE.

uncorrected energy	-5.07	eV per atom
energy relative to the lowest polymorph listed for this composition	49	meV/atom
symmetry	Cm, No. 8
size of the total moment	0.00	μB per cell
uncorrected formation energy	0.045	eV/atom
ρ	3.3	g/cm³

a b c (Å): 3.4173 3.4173 13.0114
angles (deg): 98.20 98.20 59.42
Positions (direct):
Si  0.0000  0.0000  0.0000
Si  0.1255  0.1255  0.3482
B  0.1519  0.6398  0.1741
B  0.3587  0.3587  0.0536
B  0.4456  0.4456  0.2946
B  0.6398  0.1519  0.1741
Br  0.1920  0.1920  0.5239
Br  0.9400  0.9400  0.8243


A relaxed Cs3Cd4Sn2 crystal, computed with PBE.

uncorrected energy	-1.65	eV per atom
energy relative to the lowest polymorph listed for this composition	64	meV/atom
calculated formation energy	-66	meV/atom
symmetry	C2/c, No. 15
size of the total moment	0.00	μB per cell
ρ	4.5	g/cm³

a b c (Å): 9.9692 9.9692 8.7759
angles (deg): 102.01 102.01 70.97
Positions (direct):
Cs  0.0503  0.9497  0.7500
Cs  0.2611  0.5363  0.3993
Cs  0.4637  0.7389  0.1007
Cs  0.5363  0.2611  0.8993
Cs  0.7389  0.4637  0.6007
Cs  0.9497  0.0503  0.2500
Cd  0.1675  0.5542  0.8093
Cd  0.1745  0.2634  0.6534
Cd  0.2634  0.1745  0.1534
Cd  0.4458  0.8325  0.6907
Cd  0.5542  0.1675  0.3093
Cd  0.7366  0.8255  0.8466
Cd  0.8255  0.7366  0.3466
Cd  0.8325  0.4458  0.1907
Sn  0.0271  0.3403  0.9465
Sn  0.3403  0.0271  0.4465
Sn  0.6597  0.9729  0.5535
Sn  0.9729  0.6597  0.0535


A relaxed TePt crystal, computed with PBE.

uncorrected energy	-4.73	eV per atom
symmetry	Cmcm, No. 63
size of the total moment	0.00	μB per cell
uncorrected formation energy	-0.143	eV/atom
ρ	12.7	g/cm³

a b c (Å): 5.7349 5.7349 3.9356
angles (deg): 90.00 90.00 139.36
Positions (direct):
Te  0.1423  0.8577  0.7500
Te  0.8577  0.1423  0.2500
Pt  0.3950  0.6050  0.7500
Pt  0.6050  0.3950  0.2500


Q: Number 12 is which compound?
A: TePt


Q: Which formula does entry 4 have?
A: TcIO3


Q: What is the formula in the ninth record?
A: Ho2BiPb


Q: Look up the uncorrected energy of the sixth one.
A: -3.83 eV per atom